# Tl4ZnNi (PBE-GGA, optimized geometry)
data_Tl4ZnNi
_chemical_formula_sum 'Tl16 Zn4 Ni4'
_cell_length_a 8.866
_cell_length_b 8.866
_cell_length_c 8.866
_cell_angle_alpha 90.00
_cell_angle_beta 90.00
_cell_angle_gamma 90.00
_symmetry_space_group_name_H-M 'F -4 3 m'
_symmetry_Int_Tables_number 216
_symmetry_space_group_name_Hall 'F -4 2 3'
loop_
_atom_site_label
_atom_site_type_symbol
_atom_site_fract_x
_atom_site_fract_y
_atom_site_fract_z
Tl1 Tl 0.125 0.125 0.125
Zn1 Zn 0.250 0.250 0.750
Ni1 Ni 0.000 0.000 0.500
# ΔH_f (0 K), eV per atom: 0.6763